No. 1
Below is Pr4PCS2 after structural relaxation, with properties calculated at the PBE level. Values from VASP.

Results
- M_tot: 0.00 μB per formula unit
- Calculated volume: 24.06 Å³ per atom
- VASP energy: -6.650 eV per atom
- SG: I-4m2 (119)

Cell and atoms, written as Quantum ESPRESSO input:
```
&SYSTEM
  ibrav = 0, nat = 16, ntyp = 4
/
ATOMIC_SPECIES
Pr 140.91 Pr.upf
P 30.97 P.upf
C 12.01 C.upf
S 32.06 S.upf
ATOMIC_POSITIONS angstrom
Pr 0.0000 0.0000 2.6278
Pr 0.0000 0.0000 8.9263
Pr 0.0000 2.8862 0.0200
Pr 0.0000 2.8862 5.7570
Pr 2.8862 0.0000 5.7970
Pr 2.8862 0.0000 11.5340
Pr 2.8862 2.8862 3.1493
Pr 2.8862 2.8862 8.4048
P 0.0000 2.8862 2.8885
P 2.8862 0.0000 8.6655
C 0.0000 0.0000 0.0000
C 2.8862 2.8862 5.7770
S 0.0000 0.0000 5.7770
S 0.0000 2.8862 8.6655
S 2.8862 0.0000 2.8885
S 2.8862 2.8862 0.0000
CELL_PARAMETERS angstrom
5.7723 0.0000 0.0000
0.0000 5.7723 0.0000
0.0000 0.0000 11.5540
```

No. 2
Below is PaAlGa6 after structural relaxation, with properties calculated at the PBE level. Values from VASP.

Results
- Energy of formation from the pure elements: -0.14 eV per atom
- M_tot: 0.00 μB per formula unit
- Calculated volume: 19.24 Å³ per atom
- VASP energy: -4.067 eV per atom
- SG: Cmmm (65)

Cell and atoms, written as Quantum ESPRESSO input:
```
&SYSTEM
  ibrav = 0, nat = 16, ntyp = 3
/
ATOMIC_SPECIES
Pa 231.04 Pa.upf
Al 26.98 Al.upf
Ga 69.72 Ga.upf
ATOMIC_POSITIONS angstrom
Pa 0.0000 0.0000 0.0000
Pa 3.3023 5.0765 0.0000
Al 0.0000 5.0765 0.0000
Al 3.3023 0.0000 0.0000
Ga 0.0000 2.1280 2.2949
Ga 0.0000 8.0249 2.2949
Ga 1.3437 5.0765 2.2949
Ga 1.6512 2.5382 0.0000
Ga 1.6512 7.6147 0.0000
Ga 1.9587 0.0000 2.2949
Ga 3.3023 2.9484 2.2949
Ga 3.3023 7.2045 2.2949
Ga 4.6460 0.0000 2.2949
Ga 4.9535 2.5382 0.0000
Ga 4.9535 7.6147 0.0000
Ga 5.2610 5.0765 2.2949
CELL_PARAMETERS angstrom
6.6047 0.0000 0.0000
0.0000 10.1530 0.0000
0.0000 0.0000 4.5897
```

No. 3
Below is SrCa2MnCl8 after structural relaxation, with properties calculated at the PBE level. Values from VASP.

Results
- M_tot: 5.00 μB per formula unit
- Calculated volume: 28.48 Å³ per atom
- VASP energy: -4.534 eV per atom
- SG: P2/m (10)

Cell and atoms, written as Quantum ESPRESSO input:
```
&SYSTEM
  ibrav = 0, nat = 12, ntyp = 4
/
ATOMIC_SPECIES
Sr 87.62 Sr.upf
Ca 40.08 Ca.upf
Mn 54.94 Mn.upf
Cl 35.45 Cl.upf
ATOMIC_POSITIONS angstrom
Sr 0.0000 0.0000 0.0000
Ca 3.1303 2.1820 3.2451
Ca 3.1303 6.1485 3.2451
Mn 0.0000 4.1653 0.0000
Cl 1.3485 2.3217 1.1158
Cl 1.3485 6.0088 1.1158
Cl 1.6592 4.1653 4.4702
Cl 1.7912 0.0000 4.2923
Cl 4.4695 0.0000 2.1979
Cl 4.6015 4.1653 2.0199
Cl 4.9122 2.3217 5.3744
Cl 4.9122 6.0088 5.3744
CELL_PARAMETERS angstrom
6.3220 0.0000 0.0000
0.0000 8.3305 0.0000
-0.0614 0.0000 6.4902
```

No. 4
Below is PuNpBi2 after structural relaxation, with properties calculated at the PBE level. Values from VASP.

Results
- Energy of formation from the pure elements: 0.01 eV per atom
- M_tot: 1.50 μB per formula unit
- Calculated volume: 29.27 Å³ per atom
- VASP energy: -8.749 eV per atom
- Polymorph energy (0 for the lowest one): 0.534 eV/f.u.
- SG: Fm-3m (225)

Cell and atoms, written as Quantum ESPRESSO input:
```
&SYSTEM
  ibrav = 0, nat = 16, ntyp = 3
/
ATOMIC_SPECIES
Pu 244.00 Pu.upf
Np 237.00 Np.upf
Bi 208.98 Bi.upf
ATOMIC_POSITIONS angstrom
Pu 0.0000 0.0000 0.0000
Pu 0.0000 3.8830 3.8830
Pu 3.8830 0.0000 3.8830
Pu 3.8830 3.8830 0.0000
Np 0.0000 0.0000 3.8830
Np 0.0000 3.8830 0.0000
Np 3.8830 0.0000 0.0000
Np 3.8830 3.8830 3.8830
Bi 1.9415 1.9415 1.9415
Bi 1.9415 1.9415 5.8246
Bi 1.9415 5.8246 1.9415
Bi 1.9415 5.8246 5.8246
Bi 5.8246 1.9415 1.9415
Bi 5.8246 1.9415 5.8246
Bi 5.8246 5.8246 1.9415
Bi 5.8246 5.8246 5.8246
CELL_PARAMETERS angstrom
7.7661 0.0000 0.0000
0.0000 7.7661 0.0000
0.0000 0.0000 7.7661
```